A PBEsol-optimized structure of AgHg2Au, computed with SCAN.

a = 3.3260 Å, b = 3.3260 Å, c = 6.7776 Å
α = 90.00°, β = 90.00°, γ = 90.00°
Atoms (fractional coordinates):
Ag 0.0000 0.0000 0.0000
Hg 0.5000 0.5000 0.2487
Hg 0.5000 0.5000 0.7513
Au 0.0000 0.0000 0.5000

Properties
The calculation puts the formation energy from the elements at 0.098 eV/atom. The density of states at the Fermi level comes out at 0.337 states/eV/atom. The value obtained for the total energy is -4.3449 Ry/atom. The calculation puts the calculated density at 15.64 g/cm³. As for the total magnetic moment: 0.00 μB per formula unit.